DFT (PBE) results for a relaxed Tb4Sm8Y crystal.

```
data_Tb4Sm8Y
_cell_length_a 7.3155
_cell_length_b 7.3155
_cell_length_c 28.2718
_cell_angle_alpha 90.00
_cell_angle_beta 90.00
_cell_angle_gamma 120.00
_space_group_name_H-M_alt 'R -3 m'
_space_group_IT_number 166
_space_group_name_Hall '-R 3 2"'
loop_
_atom_site_label
_atom_site_fract_x
_atom_site_fract_y
_atom_site_fract_z
_atom_site_occupancy
Tb1 0.0000 0.0000 0.0000 1
Tb2 0.0000 0.5000 0.0000 1
Sm1 0.0000 0.0000 0.2137 1
Sm2 0.0343 0.5172 0.7654 1
Y1 0.0000 0.0000 0.5000 1
```

Values from the calculation:
- Formation energy: 0.200 eV per atom
- Energy: -180.421 eV for the cell shown

DFT (PBE) results for a relaxed HfCoH crystal.

```
data_HfCoH
_cell_length_a 3.143
_cell_length_b 3.143
_cell_length_c 7.029
_cell_angle_alpha 90.00
_cell_angle_beta 90.00
_cell_angle_gamma 90.00
_space_group_name_H-M_alt 'P 4/n m m'
_space_group_IT_number 129
loop_
_space_group_symop_operation_xyz
'x,y,z'
'-x,-y,-z'
'-y+1/2,x,z'
'y+1/2,-x,-z'
'-x+1/2,-y+1/2,z'
'x+1/2,y+1/2,-z'
'y,-x+1/2,z'
'-y,x+1/2,-z'
'x+1/2,-y,-z'
'-x+1/2,y,z'
'-y,-x,-z'
'y,x,z'
'-x,y+1/2,-z'
'x,-y+1/2,z'
'y+1/2,x+1/2,-z'
'-y+1/2,-x+1/2,z'
loop_
_atom_site_label
_atom_site_fract_x
_atom_site_fract_y
_atom_site_fract_z
_atom_site_occupancy
Hf1 0.250 0.250 0.192 1
Co1 0.250 0.250 0.592 1
H1 0.250 0.750 0.000 1
```

Values from the calculation:
- Relative energy among the computed polymorphs: 0 meV per atom
- Energy: -42.754 eV for the cell shown

DFT (PBE) results for a relaxed MnCoCuIr2 crystal.

```
data_MnCoCuIr2
_cell_length_a 4.398
_cell_length_b 4.398
_cell_length_c 4.391
_cell_angle_alpha 90.00
_cell_angle_beta 90.00
_cell_angle_gamma 90.00
_space_group_name_H-M_alt 'P 4/m m m'
_space_group_IT_number 123
_space_group_name_Hall '-P 4 2'
loop_
_atom_site_label
_atom_site_fract_x
_atom_site_fract_y
_atom_site_fract_z
_atom_site_occupancy
Mn1 0.000 0.000 0.000 1
Co1 0.500 0.500 0.500 1
Cu1 0.000 0.000 0.500 1
Ir1 0.000 0.500 0.000 1
```

Values from the calculation:
- Formation energy: 1.451 eV per atom
- Energy: -30.840 eV for the cell shown